No. 1
## In14Hg9Pb2 (PBE-GGA)

Data for crystalline In14Hg9Pb2 at its relaxed geometry.

Output
Magnetization: 0.0 μB/cell

Geometry as CIF:
```
data_In14Hg9Pb2
_space_group_name_H-M_alt 'P -1'
_space_group_IT_number 2
_cell_length_a 5.9210
_cell_length_b 8.0107
_cell_length_c 14.9094
_cell_angle_alpha 88.88
_cell_angle_beta 88.86
_cell_angle_gamma 74.09
loop_
_space_group_symop_operation_xyz
'x,y,z'
'-x,-y,-z'
loop_
_atom_site_label
_atom_site_fract_x
_atom_site_fract_y
_atom_site_fract_z
In1 0.0048 0.1593 0.4348
In2 0.0595 0.6265 0.1605
In3 0.0975 0.9721 0.7678
In4 0.2828 0.8930 0.9654
In5 0.3520 0.5689 0.7932
In6 0.4048 0.0542 0.6021
In7 0.4351 0.3597 0.4302
Hg1 0.1322 0.2799 0.0363
Hg2 0.1466 0.4537 0.6169
Hg3 0.2325 0.7413 0.3667
Hg4 0.2627 0.2458 0.2450
Hg5 0.5000 0.5000 0.0000
Pb1 0.4722 0.8491 0.1713
```

---

No. 2
## In6Hg5Pb4 (PBE-GGA)

Data for crystalline In6Hg5Pb4 at its relaxed geometry.

Output
Magnetization: 0.0 μB/cell

Geometry as CIF:
```
data_In6Hg5Pb4
_space_group_name_H-M_alt 'C m c 21'
_space_group_IT_number 36
_cell_length_a 3.4267
_cell_length_b 29.1962
_cell_length_c 16.8047
_cell_angle_alpha 90.00
_cell_angle_beta 90.00
_cell_angle_gamma 90.00
loop_
_space_group_symop_operation_xyz
'x,y,z'
'-x,-y,z+1/2'
'-x,y,z'
'x,-y,z+1/2'
'x+1/2,y+1/2,z'
'-x+1/2,-y+1/2,z+1/2'
'-x+1/2,y+1/2,z'
'x+1/2,-y+1/2,z+1/2'
loop_
_atom_site_label
_atom_site_fract_x
_atom_site_fract_y
_atom_site_fract_z
In1 0.0000 0.0647 0.0000
In2 0.0000 0.0699 0.3365
In3 0.0000 0.0957 0.6682
In4 0.0000 0.2672 0.9998
In5 0.0000 0.2728 0.3317
In6 0.0000 0.3982 0.6688
Hg1 0.0000 0.0097 0.1677
Hg2 0.0000 0.1331 0.8398
Hg3 0.0000 0.1380 0.4953
Hg4 0.0000 0.2063 0.1660
Hg5 0.0000 0.3135 0.1643
Pb1 0.0000 0.3286 0.8255
Pb2 0.0000 0.3339 0.5082
Pb3 0.0000 0.4635 0.0086
Pb4 0.0000 0.4687 0.3278
```

---

No. 3
## In5Hg3Pb (PBE-GGA)

Data for crystalline In5Hg3Pb at its relaxed geometry.

Output
Distance to the lowest polymorph of the same formula: 0.0 meV/atom
Magnetization: 0.0 μB/cell

Geometry as CIF:
```
data_In5Hg3Pb
_space_group_name_H-M_alt 'P 63/m c m'
_space_group_IT_number 193
_space_group_name_Hall '-P 6c 2'
_cell_length_a 9.3651
_cell_length_b 9.3651
_cell_length_c 6.4484
_cell_angle_alpha 90.00
_cell_angle_beta 90.00
_cell_angle_gamma 120.00
loop_
_atom_site_label
_atom_site_fract_x
_atom_site_fract_y
_atom_site_fract_z
In1 0.0000 0.3421 0.2500
In2 0.3333 0.6667 0.0000
Hg1 0.0000 0.3302 0.7500
Pb1 0.0000 0.0000 0.0000
```

---

No. 4
## In3Hg2Pb3 (PBE-GGA)

Data for crystalline In3Hg2Pb3 at its relaxed geometry.

Output
Distance to the lowest polymorph of the same formula: 2.1 meV/atom
Magnetization: 0.0 μB/cell

Geometry as CIF:
```
data_In3Hg2Pb3
_space_group_name_H-M_alt 'C 1 2/m 1'
_space_group_IT_number 12
_cell_length_a 16.0159
_cell_length_b 5.4590
_cell_length_c 5.5093
_cell_angle_alpha 90.00
_cell_angle_beta 108.56
_cell_angle_gamma 90.00
loop_
_space_group_symop_operation_xyz
'x,y,z'
'-x,-y,-z'
'-x,y,-z'
'x,-y,z'
'x+1/2,y+1/2,z'
'-x+1/2,-y+1/2,-z'
'-x+1/2,y+1/2,-z'
'x+1/2,-y+1/2,z'
loop_
_atom_site_label
_atom_site_fract_x
_atom_site_fract_y
_atom_site_fract_z
In1 0.0000 0.0000 0.0000
In2 0.1349 0.0000 0.6328
Hg1 0.2498 0.0000 0.2518
Pb1 0.0000 0.5000 0.5000
Pb2 0.1308 0.5000 0.1277
```

---

No. 5
## In2HgPb (PBE-GGA)

Data for crystalline In2HgPb at its relaxed geometry.

Output
Magnetization: 0.0 μB/cell

Geometry as CIF:
```
data_In2HgPb
_space_group_name_H-M_alt 'F -4 3 m'
_space_group_IT_number 216
_space_group_name_Hall 'F -4 2 3'
_cell_length_a 7.6503
_cell_length_b 7.6503
_cell_length_c 7.6503
_cell_angle_alpha 90.00
_cell_angle_beta 90.00
_cell_angle_gamma 90.00
loop_
_atom_site_label
_atom_site_fract_x
_atom_site_fract_y
_atom_site_fract_z
In1 0.0000 0.0000 0.0000
In2 0.2500 0.2500 0.2500
Hg1 0.0000 0.0000 0.5000
Pb1 0.2500 0.2500 0.7500
```

---

No. 6
## In8HgPb5 (PBE-GGA)

Data for crystalline In8HgPb5 at its relaxed geometry.

Output
Magnetization: 0.0 μB/cell

Geometry as CIF:
```
data_In8HgPb5
_space_group_name_H-M_alt 'I -4'
_space_group_IT_number 82
_cell_length_a 10.4307
_cell_length_b 10.4307
_cell_length_c 8.0108
_cell_angle_alpha 90.00
_cell_angle_beta 90.00
_cell_angle_gamma 90.00
loop_
_space_group_symop_operation_xyz
'x,y,z'
'y,-x,-z'
'-x,-y,z'
'-y,x,-z'
'x+1/2,y+1/2,z+1/2'
'y+1/2,-x+1/2,-z+1/2'
'-x+1/2,-y+1/2,z+1/2'
'-y+1/2,x+1/2,-z+1/2'
loop_
_atom_site_label
_atom_site_fract_x
_atom_site_fract_y
_atom_site_fract_z
In1 0.0513 0.1509 0.3169
In2 0.1582 0.6900 0.4835
Hg1 0.0000 0.0000 0.0000
Pb1 0.0000 0.5000 0.2500
Pb2 0.0960 0.6609 0.8776
```

---

No. 7
## In5Hg8Pb (PBE-GGA)

Data for crystalline In5Hg8Pb at its relaxed geometry.

Output
Magnetization: 0.0 μB/cell

Geometry as CIF:
```
data_In5Hg8Pb
_space_group_name_H-M_alt 'I -4'
_space_group_IT_number 82
_cell_length_a 9.1377
_cell_length_b 9.1377
_cell_length_c 9.2217
_cell_angle_alpha 90.00
_cell_angle_beta 90.00
_cell_angle_gamma 90.00
loop_
_space_group_symop_operation_xyz
'x,y,z'
'y,-x,-z'
'-x,-y,z'
'-y,x,-z'
'x+1/2,y+1/2,z+1/2'
'y+1/2,-x+1/2,-z+1/2'
'-x+1/2,-y+1/2,z+1/2'
'-y+1/2,x+1/2,-z+1/2'
loop_
_atom_site_label
_atom_site_fract_x
_atom_site_fract_y
_atom_site_fract_z
In1 0.0000 0.0000 0.0000
In2 0.1303 0.7459 0.6204
Hg1 0.0755 0.8367 0.2985
Hg2 0.0802 0.6742 0.9463
Pb1 0.0000 0.5000 0.2500
```

---

No. 8
## In5Hg12Pb2 (PBE-GGA)

Data for crystalline In5Hg12Pb2 at its relaxed geometry.

Output
Magnetization: 0.0 μB/cell

Geometry as CIF:
```
data_In5Hg12Pb2
_space_group_name_H-M_alt 'C 1 2/m 1'
_space_group_IT_number 12
_cell_length_a 17.3647
_cell_length_b 10.2499
_cell_length_c 5.8950
_cell_angle_alpha 90.00
_cell_angle_beta 99.34
_cell_angle_gamma 90.00
loop_
_space_group_symop_operation_xyz
'x,y,z'
'-x,-y,-z'
'-x,y,-z'
'x,-y,z'
'x+1/2,y+1/2,z'
'-x+1/2,-y+1/2,-z'
'-x+1/2,y+1/2,-z'
'x+1/2,-y+1/2,z'
loop_
_atom_site_label
_atom_site_fract_x
_atom_site_fract_y
_atom_site_fract_z
In1 0.0000 0.0000 0.0000
In2 0.1520 0.5000 0.3663
In3 0.2140 0.0000 0.9783
Hg1 0.0434 0.5000 0.7554
Hg2 0.0976 0.2614 0.0825
Hg3 0.1552 0.0000 0.4443
Hg4 0.2004 0.2739 0.7029
Pb1 0.0000 0.1727 0.5000
```

---

No. 9
## In3HgPb7 (PBE-GGA)

Data for crystalline In3HgPb7 at its relaxed geometry.

Output
Magnetization: 0.0 μB/cell

Geometry as CIF:
```
data_In3HgPb7
_space_group_name_H-M_alt 'P 3 m 1'
_space_group_IT_number 156
_cell_length_a 6.9742
_cell_length_b 6.9742
_cell_length_c 8.1479
_cell_angle_alpha 90.00
_cell_angle_beta 90.00
_cell_angle_gamma 120.00
loop_
_space_group_symop_operation_xyz
'x,y,z'
'-y,x-y,z'
'-x+y,-x,z'
'-y,-x,z'
'-x+y,y,z'
'x,x-y,z'
loop_
_atom_site_label
_atom_site_fract_x
_atom_site_fract_y
_atom_site_fract_z
In1 0.0059 0.5030 0.0000
Hg1 0.3333 0.6667 0.6671
Pb1 0.1647 0.3294 0.3258
Pb2 0.3214 0.1607 0.6860
Pb3 0.6667 0.3333 0.3434
```

---

No. 10
## In5Hg5Pb2 (PBE-GGA)

Data for crystalline In5Hg5Pb2 at its relaxed geometry.

Output
Magnetization: 0.0 μB/cell

Geometry as CIF:
```
data_In5Hg5Pb2
_space_group_name_H-M_alt 'C 1 2/m 1'
_space_group_IT_number 12
_cell_length_a 16.2148
_cell_length_b 3.4596
_cell_length_c 11.8381
_cell_angle_alpha 90.00
_cell_angle_beta 90.22
_cell_angle_gamma 90.00
loop_
_space_group_symop_operation_xyz
'x,y,z'
'-x,-y,-z'
'-x,y,-z'
'x,-y,z'
'x+1/2,y+1/2,z'
'-x+1/2,-y+1/2,-z'
'-x+1/2,y+1/2,-z'
'x+1/2,-y+1/2,z'
loop_
_atom_site_label
_atom_site_fract_x
_atom_site_fract_y
_atom_site_fract_z
In1 0.0000 0.0000 0.0000
In2 0.1613 0.0000 0.4944
In3 0.2345 0.5000 0.7286
Hg1 0.0000 0.5000 0.5000
Hg2 0.1118 0.5000 0.2219
Hg3 0.1701 0.5000 0.9679
Pb1 0.0576 0.0000 0.7376
```

---

no.,DFT total energy (eV per formula unit)
1,-48.0
2,-32.4
3,-18.1
4,-19.8
5,-9.4
6,-39.6
7,-19.6
8,-24.2
9,-33.8
10,-22.3